The following is a PBE-GGA calculation of a relaxed structure of AlSiIr4, from Alexandria.

a b c (Å): 5.179 5.179 5.179
angles (deg): 60.00 60.00 60.00
Element x y z (fractional)
Al: 0.000 0.000 0.000
Si: 0.250 0.250 0.250
Ir: 0.125 0.625 0.625
Ir: 0.625 0.125 0.625
Ir: 0.625 0.625 0.125
Ir: 0.625 0.625 0.625

Properties
The density of states at the Fermi level is 6.0 states/eV per cell. As for the energy: -7.0689 eV/atom. Its spin magnetization is 0.00 μB/atom. As for the space-group type: F-43m (216).

The following is a PBE-GGA calculation of a relaxed structure of AlSi2Ir2, from Alexandria.

a b c (Å): 7.218 7.218 2.783
angles (deg): 90.00 90.00 90.00
Element x y z (fractional)
Al: 0.000 0.000 0.000
Al: 0.500 0.500 0.000
Si: 0.151 0.349 0.500
Si: 0.349 0.849 0.500
Si: 0.651 0.151 0.500
Si: 0.849 0.651 0.500
Ir: 0.144 0.644 0.000
Ir: 0.356 0.144 0.000
Ir: 0.644 0.856 0.000
Ir: 0.856 0.356 0.000

Properties
The density of states at the Fermi level is 4.2 states/eV per cell. As for the energy: -6.8434 eV/atom. Its spin magnetization is 0.00 μB/atom. As for the space-group type: P4/mbm (127).

The following is a PBE-GGA calculation of a relaxed structure of AlSi2Ir2, from Alexandria.

a b c (Å): 7.316 7.316 2.723
angles (deg): 90.00 90.00 90.00
Element x y z (fractional)
Al: 0.000 0.000 0.000
Al: 0.500 0.500 0.000
Si: 0.145 0.355 0.000
Si: 0.355 0.855 0.000
Si: 0.645 0.145 0.000
Si: 0.855 0.645 0.000
Ir: 0.147 0.647 0.500
Ir: 0.353 0.147 0.500
Ir: 0.647 0.853 0.500
Ir: 0.853 0.353 0.500

Properties
The density of states at the Fermi level is 3.6 states/eV per cell. As for the energy: -6.7291 eV/atom. Its spin magnetization is 0.00 μB/atom. As for the space-group type: P4/mbm (127).

The following is a PBE-GGA calculation of a relaxed structure of Al2SiIr, from Alexandria.

a b c (Å): 4.710 4.710 4.710
angles (deg): 131.58 131.58 70.90
Element x y z (fractional)
Al: 0.000 0.000 0.000
Al: 0.750 0.250 0.500
Si: 0.500 0.500 0.000
Ir: 0.250 0.750 0.500

Properties
The density of states at the Fermi level is 3.0 states/eV per cell. As for the energy: -5.6561 eV/atom. Its spin magnetization is 0.00 μB/atom. As for the space-group type: I-4m2 (119).

The following is a PBE-GGA calculation of a relaxed structure of Al2SiIr, from Alexandria.

a b c (Å): 8.256 8.256 8.256
angles (deg): 20.50 20.50 20.50
Element x y z (fractional)
Al: 0.000 0.000 0.000
Al: 0.243 0.243 0.243
Si: 0.491 0.491 0.491
Ir: 0.750 0.750 0.750

Properties
The density of states at the Fermi level is 2.1 states/eV per cell. As for the energy: -5.6815 eV/atom. Its spin magnetization is 0.00 μB/atom. As for the space-group type: R3m (160).

The following is a PBE-GGA calculation of a relaxed structure of AlSiIr2, from Alexandria.

a b c (Å): 8.257 8.257 8.257
angles (deg): 20.08 20.08 20.08
Element x y z (fractional)
Al: 0.000 0.000 0.000
Si: 0.246 0.246 0.246
Ir: 0.507 0.507 0.507
Ir: 0.744 0.744 0.744

Properties
The density of states at the Fermi level is 1.9 states/eV per cell. As for the energy: -6.9981 eV/atom. Its spin magnetization is 0.00 μB/atom. As for the space-group type: R3m (160).